Entry from Alexandria: a relaxed HoNi6B6 crystal (PBE-GGA).

Values from the calculation:
Raw total energy   -80.091 eV per cell
M_tot   0.00 μB per atom
Density of states at the Fermi level   4.61 states/eV per cell
DFT formation energy   -0.06 eV per atom
Symmetry   No. 71

The structure in extended XYZ format:
```
13
Lattice="-0.328 1.002 4.097 -3.884 -3.174 2.649 3.434 -3.154 3.231" Properties=species:S:1:pos:R:3 pbc="T T T"
B 1.717 -1.577 1.616
B -2.106 -1.086 3.373
B 1.501 -2.658 5.139
Ni -1.388 -3.167 2.848
B -2.280 -2.668 4.839
Ho 0.000 0.000 0.000
Ni -0.591 -4.416 7.586
Ni -0.188 -0.910 2.392
B -1.942 -1.587 1.325
Ni -0.371 -1.554 4.719
B 1.553 -1.076 3.664
Ni 0.938 -3.161 3.033
Ni -0.408 -3.772 5.259
```